(w)
Below is a geometry-optimized Nd3TlCo structure, with properties calculated at the PBE level.

The structure belongs to space group C2/m (No. 12); the cell edges are 12.5508, 7.2593 and 7.7736 Å and the angles 90.00°, 122.54° and 90.00°. The asymmetric unit holds Nd at (0.0891, 0.0000, 0.2674), Nd at (0.1606, 0.2505, 0.7319), Tl at (0.1005, 0.5000, 0.3006) and Co at (0.1712, 0.0000, 0.0118).

---

(x)
Below is a geometry-optimized Nd3TlCo structure, with properties calculated at the PBE level.

The structure belongs to space group C2/m (No. 12); the cell edges are 12.2690, 5.5895 and 9.1550 Å and the angles 90.00°, 112.24° and 90.00°. The asymmetric unit holds Nd at (0.1050, 0.0000, 0.2182), Nd at (0.1258, 0.5000, 0.9146), Nd at (0.1538, 0.0000, 0.6510), Tl at (0.1067, 0.5000, 0.4459) and Co at (0.1333, 0.0000, 0.9360).

---

(y)
Below is a geometry-optimized Nd3TlCo structure, with properties calculated at the PBE level.

The structure belongs to space group Pm-3m (No. 221); the cell edges are 5.2893, 5.2893 and 5.2893 Å and the angles 90.00°, 90.00° and 90.00°. The asymmetric unit holds Nd at (0.0000, 0.0000, 0.5000), Tl at (0.5000, 0.5000, 0.5000) and Co at (0.0000, 0.0000, 0.0000).

---

Relative stability in eV/atom, measured from the most stable structure: (w) 0.129; (x) 0.000; (y) 0.046

---

(w)
Below is a geometry-optimized Nd5Tl2Co structure, with properties calculated at the PBE level.

The structure belongs to space group Cmcm (No. 63); the cell edges are 5.4880, 17.1136 and 12.5977 Å and the angles 90.00°, 90.00° and 90.00°. The asymmetric unit holds Nd at (0.0000, 0.0701, 0.1035), Nd at (0.0000, 0.2908, 0.0829), Nd at (0.0000, 0.2998, 0.7500), Tl at (0.0000, 0.1191, 0.6338) and Co at (0.0000, 0.1816, 0.2500).

---

(x)
Below is a geometry-optimized Nd5Tl2Co structure, with properties calculated at the PBE level.

The structure belongs to space group Pbam (No. 55); the cell edges are 8.2236, 12.1646 and 4.7814 Å and the angles 90.00°, 90.00° and 90.00°. The asymmetric unit holds Nd at (0.0000, 0.0000, 0.0000), Nd at (0.1324, 0.3035, 0.0000), Nd at (0.1815, 0.5678, 0.5000), Tl at (0.0762, 0.8305, 0.5000) and Co at (0.0000, 0.5000, 0.0000).

---

Relative stability in eV/atom, measured from the most stable structure: (w) 0.335; (x) 0.000

---

(w)
Below is a geometry-optimized NdTm2Co structure, with properties calculated at the PBE level.

The structure belongs to space group P2_1/m (No. 11); the cell edges are 3.6263, 9.3677 and 6.3273 Å and the angles 90.00°, 106.56° and 90.00°. The asymmetric unit holds Nd at (0.0804, 0.2500, 0.1610), Tm at (0.3562, 0.0727, 0.7133) and Co at (0.2458, 0.7500, 0.4914).

---

(x)
Below is a geometry-optimized NdTm2Co structure, with properties calculated at the PBE level.

The structure belongs to space group R-3m (No. 166, hexagonal axes); the cell edges are 3.7036, 3.7036 and 27.5878 Å and the angles 90.00°, 90.00° and 120.00°. The asymmetric unit holds Nd at (0.0000, 0.0000, 0.0000), Tm at (0.0000, 0.0000, 0.2217) and Co at (0.0000, 0.0000, 0.5000).

---

(y)
Below is a geometry-optimized NdTm2Co structure, with properties calculated at the PBE level.

The structure belongs to space group R3m (No. 160, hexagonal axes); the cell edges are 3.7711, 3.7711 and 26.7195 Å and the angles 90.00°, 90.00° and 120.00°. The asymmetric unit holds Nd at (0.0000, 0.0000, 0.0000), Tm at (0.0000, 0.0000, 0.5526), Tm at (0.0000, 0.0000, 0.7765) and Co at (0.0000, 0.0000, 0.1646).

---

(z)
Below is a geometry-optimized NdTm2Co structure, with properties calculated at the PBE level.

The structure belongs to space group P4/mmm (No. 123); the cell edges are 3.3741, 3.3741 and 8.8572 Å and the angles 90.00°, 90.00° and 90.00°. The asymmetric unit holds Nd at (0.0000, 0.0000, 0.0000), Tm at (0.5000, 0.5000, 0.3215) and Co at (0.0000, 0.0000, 0.5000).

---

Relative stability in eV/atom, measured from the most stable structure: (w) 0.000; (x) 0.107; (y) 0.091; (z) 0.023

---

(w)
Below is a geometry-optimized NdVCo2 structure, with properties calculated at the PBE level.

The structure belongs to space group R-3m (No. 166, hexagonal axes); the cell edges are 3.9855, 3.9855 and 15.3754 Å and the angles 90.00°, 90.00° and 120.00°. The asymmetric unit holds Nd at (0.0000, 0.0000, 0.0000), V at (0.0000, 0.0000, 0.5000) and Co at (0.0000, 0.0000, 0.2006).

---

(x)
Below is a geometry-optimized NdVCo2 structure, with properties calculated at the PBE level.

The structure belongs to space group P4/mmm (No. 123); the cell edges are 2.9864, 2.9864 and 7.0329 Å and the angles 90.00°, 90.00° and 90.00°. The asymmetric unit holds Nd at (0.0000, 0.0000, 0.0000), V at (0.0000, 0.0000, 0.5000) and Co at (0.5000, 0.5000, 0.3189).

---

Relative stability in eV/atom, measured from the most stable structure: (w) 0.000; (x) 0.071

---

(w)
Below is a geometry-optimized Nd2YCo structure, with properties calculated at the PBE level.

The structure belongs to space group Pnma (No. 62); the cell edges are 7.0881, 9.9308 and 6.2756 Å and the angles 90.00°, 90.00° and 90.00°. The asymmetric unit holds Nd at (0.1750, 0.0703, 0.1750), Y at (0.0425, 0.2500, 0.6533) and Co at (0.1167, 0.7500, 0.9440).

---

(x)
Below is a geometry-optimized Nd2YCo structure, with properties calculated at the PBE level.

The structure belongs to space group R3m (No. 160, hexagonal axes); the cell edges are 3.8481, 3.8481 and 27.6758 Å and the angles 90.00°, 90.00° and 120.00°. The asymmetric unit holds Nd at (0.0000, 0.0000, 0.0000), Nd at (0.0000, 0.0000, 0.2172), Y at (0.0000, 0.0000, 0.7745) and Co at (0.0000, 0.0000, 0.6090).

---

(y)
Below is a geometry-optimized Nd2YCo structure, with properties calculated at the PBE level.

The structure belongs to space group R-3m (No. 166, hexagonal axes); the cell edges are 3.6663, 3.6663 and 31.4999 Å and the angles 90.00°, 90.00° and 120.00°. The asymmetric unit holds Nd at (0.0000, 0.0000, 0.1122), Y at (0.0000, 0.0000, 0.0000) and Co at (0.0000, 0.0000, 0.5000).

---

Relative stability in eV/atom, measured from the most stable structure: (w) 0.000; (x) 0.159; (y) 0.315

---

(w)
Below is a geometry-optimized Nd3YCo structure, with properties calculated at the PBE level.

The structure belongs to space group C2/m (No. 12); the cell edges are 9.6858, 9.9562 and 6.6571 Å and the angles 90.00°, 112.18° and 90.00°. The asymmetric unit holds Nd at (0.0679, 0.0000, 0.2722), Nd at (0.1868, 0.2504, 0.7385), Y at (0.0636, 0.5000, 0.2640) and Co at (0.2485, 0.5000, 0.0052).

---

(x)
Below is a geometry-optimized Nd3YCo structure, with properties calculated at the PBE level.

The structure belongs to space group Pm-3m (No. 221); the cell edges are 5.4383, 5.4383 and 5.4383 Å and the angles 90.00°, 90.00° and 90.00°. The asymmetric unit holds Nd at (0.0000, 0.0000, 0.5000), Y at (0.5000, 0.5000, 0.5000) and Co at (0.0000, 0.0000, 0.0000).

---

Relative stability in eV/atom, measured from the most stable structure: (w) 0.000; (x) 0.030

---

(w)
Below is a geometry-optimized NdY2Co structure, with properties calculated at the PBE level.

The structure belongs to space group Cmcm (No. 63); the cell edges are 3.6672, 12.2786 and 9.5882 Å and the angles 90.00°, 90.00° and 90.00°. The asymmetric unit holds Nd at (0.0000, 0.0849, 0.2500), Y at (0.0000, 0.3583, 0.0736) and Co at (0.0000, 0.2463, 0.7500).

---

(x)
Below is a geometry-optimized NdY2Co structure, with properties calculated at the PBE level.

The structure belongs to space group R3m (No. 160, hexagonal axes); the cell edges are 3.8107, 3.8107 and 27.2979 Å and the angles 90.00°, 90.00° and 120.00°. The asymmetric unit holds Nd at (0.0000, 0.0000, 0.0000), Y at (0.0000, 0.0000, 0.5536), Y at (0.0000, 0.0000, 0.7759) and Co at (0.0000, 0.0000, 0.1648).

---

(y)
Below is a geometry-optimized NdY2Co structure, with properties calculated at the PBE level.

The structure belongs to space group R-3m (No. 166, hexagonal axes); the cell edges are 3.7515, 3.7515 and 28.0407 Å and the angles 90.00°, 90.00° and 120.00°. The asymmetric unit holds Nd at (0.0000, 0.0000, 0.0000), Y at (0.0000, 0.0000, 0.2224) and Co at (0.0000, 0.0000, 0.5000).

---

Relative stability in eV/atom, measured from the most stable structure: (w) 0.000; (x) 0.102; (y) 0.116

---

(w)
Below is a geometry-optimized Nd2YCo2 structure, with properties calculated at the PBE level.

The structure belongs to space group C2/m (No. 12); the cell edges are 11.3005, 3.7992 and 5.7749 Å and the angles 90.00°, 105.04° and 90.00°. The asymmetric unit holds Nd at (0.1461, 0.0000, 0.0880), Y at (0.0000, 0.5000, 0.5000) and Co at (0.2237, 0.0000, 0.5968).

---

(x)
Below is a geometry-optimized Nd2YCo2 structure, with properties calculated at the PBE level.

The structure belongs to space group P4/mbm (No. 127); the cell edges are 7.3373, 7.3373 and 4.3267 Å and the angles 90.00°, 90.00° and 90.00°. The asymmetric unit holds Nd at (0.1747, 0.3253, 0.0000), Y at (0.0000, 0.0000, 0.5000) and Co at (0.1079, 0.6079, 0.5000).

---

Relative stability in eV/atom, measured from the most stable structure: (w) 0.076; (x) 0.000